## one
This record from Alexandria describes a PBEsol-optimized structure of TcRhAu2. The functional is meta-GGA SCAN.

Results
**Spin magnetization**: 0.00 μB per formula unit

CIF file:
```
data_TcRhAu2
_cell_length_a 9.225
_cell_length_b 2.764
_cell_length_c 4.818
_cell_angle_alpha 90.00
_cell_angle_beta 99.50
_cell_angle_gamma 90.00
_symmetry_space_group_name_H-M 'C 1 2/m 1'
_symmetry_Int_Tables_number 12
_symmetry_space_group_name_Hall '-C 2y'
loop_
_atom_site_label
_atom_site_fract_x
_atom_site_fract_y
_atom_site_fract_z
Tc1 0.000 0.000 0.000
Rh1 0.000 0.500 0.500
Au1 0.247 0.500 0.248
```


## two
This record from Alexandria describes a PBEsol-optimized structure of TcRhAu2. The functional is meta-GGA SCAN.

Results
**Spin magnetization**: 0.00 μB per formula unit

CIF file:
```
data_TcRhAu2
_cell_length_a 3.907
_cell_length_b 3.907
_cell_length_c 7.903
_cell_angle_alpha 90.00
_cell_angle_beta 90.00
_cell_angle_gamma 90.00
_symmetry_space_group_name_H-M 'I -4 m 2'
_symmetry_Int_Tables_number 119
_symmetry_space_group_name_Hall 'I -4 -2'
loop_
_atom_site_label
_atom_site_fract_x
_atom_site_fract_y
_atom_site_fract_z
Tc1 0.000 0.000 0.000
Rh1 0.000 0.500 0.750
Au1 0.000 0.000 0.500
Au2 0.000 0.500 0.250
```


Relative energies in eV/atom: one 0.031; two 0.000


## one
This record from Alexandria describes a PBEsol-optimized structure of Te2RhAu. The functional is meta-GGA SCAN.

Results
**Spin magnetization**: 0.00 μB per formula unit

CIF file:
```
data_Te2RhAu
_cell_length_a 3.0092
_cell_length_b 3.0092
_cell_length_c 33.0356
_cell_angle_alpha 90.00
_cell_angle_beta 90.00
_cell_angle_gamma 120.00
_symmetry_space_group_name_H-M 'R -3 m'
_symmetry_Int_Tables_number 166
_symmetry_space_group_name_Hall '-R 3 2"'
loop_
_atom_site_label
_atom_site_fract_x
_atom_site_fract_y
_atom_site_fract_z
Te1 0.0000 0.0000 0.0768
Rh1 0.0000 0.0000 0.0000
Au1 0.0000 0.0000 0.5000
```


## two
This record from Alexandria describes a PBEsol-optimized structure of Te2RhAu. The functional is meta-GGA SCAN.

Results
**Spin magnetization**: 0.00 μB per formula unit

CIF file:
```
data_Te2RhAu
_cell_length_a 3.9580
_cell_length_b 3.9580
_cell_length_c 23.2061
_cell_angle_alpha 90.00
_cell_angle_beta 90.00
_cell_angle_gamma 120.00
_symmetry_space_group_name_H-M 'R -3 m'
_symmetry_Int_Tables_number 166
_symmetry_space_group_name_Hall '-R 3 2"'
loop_
_atom_site_label
_atom_site_fract_x
_atom_site_fract_y
_atom_site_fract_z
Te1 0.0000 0.0000 0.1107
Rh1 0.0000 0.0000 0.5000
Au1 0.0000 0.0000 0.0000
```


## three
This record from Alexandria describes a PBEsol-optimized structure of Te2RhAu. The functional is meta-GGA SCAN.

Results
**Spin magnetization**: 0.00 μB per formula unit

CIF file:
```
data_Te2RhAu
_cell_length_a 4.752
_cell_length_b 4.752
_cell_length_c 3.517
_cell_angle_alpha 90.00
_cell_angle_beta 90.00
_cell_angle_gamma 90.00
_symmetry_space_group_name_H-M 'P 4/m m m'
_symmetry_Int_Tables_number 123
_symmetry_space_group_name_Hall '-P 4 2'
loop_
_atom_site_label
_atom_site_fract_x
_atom_site_fract_y
_atom_site_fract_z
Te1 0.000 0.500 0.000
Rh1 0.000 0.000 0.500
Au1 0.500 0.500 0.500
```


Relative energies in eV/atom: one 0.707; two 0.000; three 0.567


## one
This record from Alexandria describes a PBEsol-optimized structure of Te2RhAu. The functional is meta-GGA SCAN.

Results
**Spin magnetization**: 0.00 μB per formula unit

CIF file:
```
data_Te2RhAu
_cell_length_a 4.466
_cell_length_b 3.886
_cell_length_c 5.450
_cell_angle_alpha 90.00
_cell_angle_beta 94.61
_cell_angle_gamma 90.00
_symmetry_space_group_name_H-M 'P 1 2/m 1'
_symmetry_Int_Tables_number 10
_symmetry_space_group_name_Hall '-P 2y'
loop_
_atom_site_label
_atom_site_fract_x
_atom_site_fract_y
_atom_site_fract_z
Te1 0.201 0.000 0.280
Rh1 0.500 0.500 0.500
Au1 0.500 0.500 0.000
```


## two
This record from Alexandria describes a PBEsol-optimized structure of Te2RhAu. The functional is meta-GGA SCAN.

Results
**Spin magnetization**: 0.00 μB per formula unit

CIF file:
```
data_Te2RhAu
_cell_length_a 4.824
_cell_length_b 5.114
_cell_length_c 7.384
_cell_angle_alpha 90.00
_cell_angle_beta 90.00
_cell_angle_gamma 90.00
_symmetry_space_group_name_H-M 'A m m 2'
_symmetry_Int_Tables_number 38
_symmetry_space_group_name_Hall 'A 2 -2'
loop_
_atom_site_label
_atom_site_fract_x
_atom_site_fract_y
_atom_site_fract_z
Te1 0.000 0.000 0.000
Te2 0.500 0.000 0.460
Rh1 0.500 0.000 0.834
Au1 0.000 0.000 0.633
```


## three
This record from Alexandria describes a PBEsol-optimized structure of Te2RhAu. The functional is meta-GGA SCAN.

Results
**Spin magnetization**: 0.00 μB per formula unit

CIF file:
```
data_Te2RhAu
_cell_length_a 3.230
_cell_length_b 4.285
_cell_length_c 12.368
_cell_angle_alpha 90.00
_cell_angle_beta 90.00
_cell_angle_gamma 90.00
_symmetry_space_group_name_H-M 'I m m 2'
_symmetry_Int_Tables_number 44
_symmetry_space_group_name_Hall 'I 2 -2'
loop_
_atom_site_label
_atom_site_fract_x
_atom_site_fract_y
_atom_site_fract_z
Te1 0.000 0.000 0.000
Te2 0.000 0.500 0.220
Rh1 0.000 0.500 0.671
Au1 0.000 0.000 0.377
```


Relative energies in eV/atom: one 0.116; two 0.000; three 0.215


## one
This record from Alexandria describes a PBEsol-optimized structure of ZrRhAu. The functional is meta-GGA SCAN.

Results
**Spin magnetization**: 0.00 μB per formula unit

CIF file:
```
data_ZrRhAu
_cell_length_a 3.416
_cell_length_b 3.416
_cell_length_c 8.785
_cell_angle_alpha 90.00
_cell_angle_beta 90.00
_cell_angle_gamma 90.00
_symmetry_space_group_name_H-M 'I 4 m m'
_symmetry_Int_Tables_number 107
_symmetry_space_group_name_Hall 'I 4 -2'
loop_
_atom_site_label
_atom_site_fract_x
_atom_site_fract_y
_atom_site_fract_z
Zr1 0.000 0.000 0.000
Rh1 0.000 0.000 0.648
Au1 0.000 0.000 0.325
```


## two
This record from Alexandria describes a PBEsol-optimized structure of ZrRhAu. The functional is meta-GGA SCAN.

Results
**Spin magnetization**: 0.00 μB per formula unit

CIF file:
```
data_ZrRhAu
_cell_length_a 4.4897
_cell_length_b 4.4897
_cell_length_c 2.9120
_cell_angle_alpha 90.00
_cell_angle_beta 90.00
_cell_angle_gamma 120.00
_symmetry_space_group_name_H-M 'P 3 m 1'
_symmetry_Int_Tables_number 156
_symmetry_space_group_name_Hall 'P 3 -2"'
loop_
_atom_site_label
_atom_site_fract_x
_atom_site_fract_y
_atom_site_fract_z
Zr1 0.0000 0.0000 0.0000
Rh1 0.6667 0.3333 0.7629
Au1 0.3333 0.6667 0.3969
```


Relative energies in eV/atom: one 0.000; two 0.265


## one
This record from Alexandria describes a PBEsol-optimized structure of RuAu. The functional is meta-GGA SCAN.

Results
**Spin magnetization**: 0.00 μB per formula unit

CIF file:
```
data_RuAu
_cell_length_a 2.735
_cell_length_b 4.480
_cell_length_c 4.911
_cell_angle_alpha 90.00
_cell_angle_beta 90.00
_cell_angle_gamma 90.00
_symmetry_space_group_name_H-M 'P m m n'
_symmetry_Int_Tables_number 59
loop_
_symmetry_equiv_pos_as_xyz
'x,y,z'
'-x,-y,-z'
'-x+1/2,-y+1/2,z'
'x+1/2,y+1/2,-z'
'x+1/2,-y,-z'
'-x+1/2,y,z'
'-x,y+1/2,-z'
'x,-y+1/2,z'
loop_
_atom_site_label
_atom_site_fract_x
_atom_site_fract_y
_atom_site_fract_z
Ru1 0.250 0.250 0.077
Au1 0.250 0.750 0.407
```


## two
This record from Alexandria describes a PBEsol-optimized structure of RuAu. The functional is meta-GGA SCAN.

Results
**Spin magnetization**: 0.00 μB per formula unit

CIF file:
```
data_RuAu
_cell_length_a 2.754
_cell_length_b 4.701
_cell_length_c 9.526
_cell_angle_alpha 90.00
_cell_angle_beta 90.00
_cell_angle_gamma 90.00
_symmetry_space_group_name_H-M 'I m m a'
_symmetry_Int_Tables_number 74
_symmetry_space_group_name_Hall '-I 2b 2'
loop_
_atom_site_label
_atom_site_fract_x
_atom_site_fract_y
_atom_site_fract_z
Ru1 0.000 0.250 0.142
Au1 0.000 0.250 0.616
```


Relative energies in eV/atom: one 0.000; two 0.026


## one
This record from Alexandria describes a PBEsol-optimized structure of RuAu. The functional is meta-GGA SCAN.

Results
**Spin magnetization**: 0.00 μB per formula unit

CIF file:
```
data_RuAu
_cell_length_a 9.109
_cell_length_b 2.781
_cell_length_c 4.825
_cell_angle_alpha 90.00
_cell_angle_beta 100.12
_cell_angle_gamma 90.00
_symmetry_space_group_name_H-M 'C 1 2/m 1'
_symmetry_Int_Tables_number 12
_symmetry_space_group_name_Hall '-C 2y'
loop_
_atom_site_label
_atom_site_fract_x
_atom_site_fract_y
_atom_site_fract_z
Ru1 0.132 0.000 0.403
Au1 0.122 0.500 0.880
```


## two
This record from Alexandria describes a PBEsol-optimized structure of RuAu. The functional is meta-GGA SCAN.

Results
**Spin magnetization**: 2.22 μB per formula unit

CIF file:
```
data_RuAu
_cell_length_a 5.230
_cell_length_b 5.230
_cell_length_c 5.230
_cell_angle_alpha 90.00
_cell_angle_beta 90.00
_cell_angle_gamma 90.00
_symmetry_space_group_name_H-M 'F m -3 m'
_symmetry_Int_Tables_number 225
_symmetry_space_group_name_Hall '-F 4 2 3'
loop_
_atom_site_label
_atom_site_fract_x
_atom_site_fract_y
_atom_site_fract_z
Ru1 0.000 0.000 0.000
Au1 0.000 0.000 0.500
```


## three
This record from Alexandria describes a PBEsol-optimized structure of RuAu. The functional is meta-GGA SCAN.

Results
**Spin magnetization**: 1.95 μB per formula unit

CIF file:
```
data_RuAu
_cell_length_a 4.3660
_cell_length_b 4.3660
_cell_length_c 5.2021
_cell_angle_alpha 90.00
_cell_angle_beta 90.00
_cell_angle_gamma 120.00
_symmetry_space_group_name_H-M 'P 63/m m c'
_symmetry_Int_Tables_number 194
_symmetry_space_group_name_Hall '-P 6c 2c'
loop_
_atom_site_label
_atom_site_fract_x
_atom_site_fract_y
_atom_site_fract_z
Ru1 0.3333 0.6667 0.2500
Au1 0.3333 0.6667 0.7500
```


Relative energies in eV/atom: one 0.000; two 0.709; three 0.963